DFT (PBE) results for a relaxed structure of RbZrP2Cl.

Values from the calculation:
**Symmetry**: P4/mmm, No. 123

Structure (extended XYZ):
```
5
Lattice="5.0483 0.0000 0.0000 0.0000 5.0483 0.0000 0.0000 0.0000 5.4992" Properties=species:S:1:pos:R:3 pbc="T T T"
Rb 0.0000 0.0000 0.0000
Zr 2.5242 2.5242 2.7496
P 0.0000 2.5242 2.7496
P 2.5242 0.0000 2.7496
Cl 2.5242 2.5242 0.0000
```



DFT (PBE) results for a relaxed structure of ReP2Cl12.

Values from the calculation:
**Symmetry**: P2_1/m, No. 11

Structure (extended XYZ):
```
30
Lattice="9.7545 0.0000 0.0000 0.0000 11.0325 0.0000 -1.4806 0.0000 9.9763" Properties=species:S:1:pos:R:3 pbc="T T T"
Re 0.7470 2.7581 1.4002
Re 7.5269 8.2744 8.5761
P 2.1984 8.2744 4.3842
P 2.4560 2.7581 8.6716
P 5.8179 8.2744 1.3047
P 6.0755 2.7581 5.5921
Cl -0.9161 2.7581 9.0753
Cl -0.6228 6.6455 8.4256
Cl -0.6228 9.9033 8.4256
Cl 1.0058 2.7581 3.6781
Cl 0.8885 6.6810 4.5129
Cl 0.8885 9.8678 4.5129
Cl 2.3891 1.1447 1.2005
Cl 2.3891 4.3715 1.2005
Cl 2.6002 1.1646 7.3720
Cl 2.6002 4.3517 7.3720
Cl 2.9957 8.2744 6.2922
Cl 3.9434 8.2744 0.4499
Cl 4.3305 2.7581 9.5264
Cl 5.2782 2.7581 3.6841
Cl 5.6737 6.6808 2.6043
Cl 5.6737 9.8679 2.6043
Cl 5.8848 6.6610 8.7758
Cl 5.8848 9.8878 8.7758
Cl 7.3854 1.1647 5.4635
Cl 7.3854 4.3516 5.4635
Cl 7.2681 8.2744 6.2983
Cl 8.8967 1.1293 1.5507
Cl 8.8967 4.3870 1.5507
Cl 9.1900 8.2744 0.9010
```



DFT (PBE) results for a relaxed structure of ReP2Cl.

Values from the calculation:
**Symmetry**: I-42d, No. 122

Structure (extended XYZ):
```
8
Lattice="-3.0249 3.0249 5.1819 3.0249 -3.0249 5.1819 3.0249 3.0249 -5.1819" Properties=species:S:1:pos:R:3 pbc="T T T"
Re 0.0000 0.0000 0.0000
Re 0.0000 3.0249 2.5910
P 4.5373 1.0166 -1.2955
P 1.0166 1.5124 1.2955
P -1.5124 2.0082 3.8864
P 2.0082 1.5124 6.4774
Cl 3.0249 0.0000 2.5910
Cl 0.0000 0.0000 5.1819
```



DFT (PBE) results for a relaxed structure of RePCl.

Values from the calculation:
**Symmetry**: P3m1, No. 156

Structure (extended XYZ):
```
3
Lattice="3.2082 0.0000 0.0000 -1.6041 2.7784 0.0000 0.0000 0.0000 6.0866" Properties=species:S:1:pos:R:3 pbc="T T T"
Re 0.0000 0.0000 0.0000
P 1.6041 0.9261 4.6540
Cl 0.0000 1.8523 1.8895
```



DFT (PBE) results for a relaxed structure of RePCl.

Values from the calculation:
**Symmetry**: F-43m, No. 216

Structure (extended XYZ):
```
3
Lattice="0.0000 2.9382 2.9382 2.9382 0.0000 2.9382 2.9382 2.9382 0.0000" Properties=species:S:1:pos:R:3 pbc="T T T"
Re 0.0000 0.0000 0.0000
P 1.4691 1.4691 1.4691
Cl 2.9382 2.9382 2.9382
```



DFT (PBE) results for a relaxed structure of ReP2Cl.

Values from the calculation:
**Symmetry**: R3m, No. 160

Structure (extended XYZ):
```
4
Lattice="1.5172 0.8760 8.6876 -1.5172 0.8760 8.6876 0.0000 -1.7520 8.6876" Properties=species:S:1:pos:R:3 pbc="T T T"
Re 0.0000 0.0000 0.0000
P 0.0000 0.0000 7.0193
P 0.0000 0.0000 14.0023
Cl 0.0000 0.0000 19.2573
```



DFT (PBE) results for a relaxed structure of ReP2Cl.

Values from the calculation:
**Symmetry**: P4mm, No. 99

Structure (extended XYZ):
```
4
Lattice="3.1007 0.0000 0.0000 0.0000 3.1007 0.0000 0.0000 0.0000 7.5949" Properties=species:S:1:pos:R:3 pbc="T T T"
Re 0.0000 0.0000 0.0000
P 0.0000 0.0000 5.2139
P 1.5504 1.5504 6.4501
Cl 1.5504 1.5504 1.8476
```



DFT (PBE) results for a relaxed structure of ReP2Cl.

Values from the calculation:
**Symmetry**: Pm, No. 6

Structure (extended XYZ):
```
4
Lattice="3.6785 0.0000 0.0000 0.0000 3.8239 0.0000 -0.2537 0.0000 6.1761" Properties=species:S:1:pos:R:3 pbc="T T T"
Re 0.0000 0.0000 0.0000
P 0.4325 1.9120 5.1356
P 1.6954 0.0000 4.6072
Cl 3.2816 1.9120 1.7138
```



DFT (PBE) results for a relaxed structure of RePCl.

Values from the calculation:
**Symmetry**: P2_1/m, No. 11

Structure (extended XYZ):
```
6
Lattice="5.9322 0.0000 0.0000 0.0000 3.1509 0.0000 -2.1358 0.0000 6.9088" Properties=species:S:1:pos:R:3 pbc="T T T"
Re 0.0125 0.7877 3.3587
Re 3.7839 2.3632 3.5500
P -1.4902 0.7877 5.2019
P 5.2866 2.3632 1.7069
Cl 2.2686 0.7877 2.0965
Cl 1.5278 2.3632 4.8123
```



DFT (PBE) results for a relaxed structure of RePCl.

Values from the calculation:
**Symmetry**: P-1, No. 2

Structure (extended XYZ):
```
6
Lattice="3.1013 0.0000 0.0000 -1.5466 4.2884 0.0000 -0.1196 -1.0517 9.9679" Properties=species:S:1:pos:R:3 pbc="T T T"
Re -0.0021 0.6984 1.1436
Re 1.4372 2.5383 8.8243
P 0.0030 3.0713 0.6962
P 1.4321 0.1655 9.2717
Cl -0.0029 0.6456 3.4149
Cl 1.4380 2.5911 6.5530
```



DFT (PBE) results for a relaxed structure of ReP2Cl.

Values from the calculation:
**Symmetry**: P2/m, No. 10

Structure (extended XYZ):
```
4
Lattice="3.0752 0.0000 0.0000 0.0000 3.0212 0.0000 -0.4228 0.0000 7.2217" Properties=species:S:1:pos:R:3 pbc="T T T"
Re 0.0000 0.0000 0.0000
P 1.1162 1.5106 5.8665
P 1.5362 1.5106 1.3552
Cl 1.3262 0.0000 3.6109
```



DFT (PBE) results for a relaxed structure of ReP2Cl.

Values from the calculation:
**Symmetry**: P4/mmm, No. 123

Structure (extended XYZ):
```
4
Lattice="4.7120 0.0000 0.0000 0.0000 4.7120 0.0000 0.0000 0.0000 2.7144" Properties=species:S:1:pos:R:3 pbc="T T T"
Re 0.0000 0.0000 0.0000
P 0.0000 2.3560 1.3572
P 2.3560 0.0000 1.3572
Cl 2.3560 2.3560 0.0000
```



DFT (PBE) results for a relaxed structure of RePCl.

Values from the calculation:
**Symmetry**: Imm2, No. 44

Structure (extended XYZ):
```
3
Lattice="-1.4485 1.8109 6.4860 1.4485 -1.8109 6.4860 1.4485 1.8109 -6.4860" Properties=species:S:1:pos:R:3 pbc="T T T"
Re 0.0000 0.0000 0.0000
P 0.0000 0.0000 5.8628
Cl 0.0000 0.0000 2.2477
```



DFT (PBE) results for a relaxed structure of ReP4Cl.

Values from the calculation:
**Symmetry**: F-43m, No. 216

Structure (extended XYZ):
```
6
Lattice="0.0000 3.7259 3.7259 3.7259 0.0000 3.7259 3.7259 3.7259 0.0000" Properties=species:S:1:pos:R:3 pbc="T T T"
Re 0.0000 0.0000 0.0000
P 2.6816 2.6816 2.6816
P 4.7701 4.7701 2.6816
P 4.7701 2.6816 4.7701
P 2.6816 4.7701 4.7701
Cl 5.5888 5.5888 5.5888
```



DFT (PBE) results for a relaxed structure of Re3PCl.

Values from the calculation:
**Symmetry**: Pm-3m, No. 221

Structure (extended XYZ):
```
5
Lattice="4.4577 0.0000 0.0000 0.0000 4.4577 0.0000 0.0000 0.0000 4.4577" Properties=species:S:1:pos:R:3 pbc="T T T"
Re 0.0000 0.0000 2.2288
Re 0.0000 2.2288 0.0000
Re 2.2288 0.0000 0.0000
P 0.0000 0.0000 0.0000
Cl 2.2288 2.2288 2.2288
```



DFT (PBE) results for a relaxed structure of ReP2Cl.

Values from the calculation:
**Symmetry**: I4/mmm, No. 139

Structure (extended XYZ):
```
4
Lattice="-2.0173 2.0173 3.5702 2.0173 -2.0173 3.5702 2.0173 2.0173 -3.5702" Properties=species:S:1:pos:R:3 pbc="T T T"
Re 0.0000 0.0000 0.0000
P 2.0173 0.0000 1.7851
P 0.0000 2.0173 1.7851
Cl 0.0000 0.0000 3.5702
```



DFT (PBE) results for a relaxed structure of ReP2Cl.

Values from the calculation:
**Symmetry**: C2/m, No. 12

Structure (extended XYZ):
```
4
Lattice="3.6480 -1.5372 0.0000 3.6480 1.5372 0.0000 -2.6377 0.0000 6.8811" Properties=species:S:1:pos:R:3 pbc="T T T"
Re 0.0000 0.0000 0.0000
P 2.1606 0.0000 1.1042
P 2.4978 0.0000 5.7769
Cl 2.3292 0.0000 3.4405
```



DFT (PBE) results for a relaxed structure of RePCl.

Values from the calculation:
**Symmetry**: Cmcm, No. 63

Structure (extended XYZ):
```
6
Lattice="1.9043 -8.2066 0.0000 1.9043 8.2066 0.0000 0.0000 0.0000 5.0394" Properties=species:S:1:pos:R:3 pbc="T T T"
Re 1.9043 7.5954 3.7795
Re 1.9043 -7.5954 1.2598
P 1.9043 0.0000 0.0000
P 1.9043 0.0000 2.5197
Cl 1.9043 5.3240 3.7795
Cl 1.9043 -5.3240 1.2598
```



DFT (PBE) results for a relaxed structure of RePCl.

Values from the calculation:
**Symmetry**: Fmm2, No. 42

Structure (extended XYZ):
```
3
Lattice="0.0000 2.6050 7.7356 1.5111 0.0000 7.7356 1.5111 2.6050 0.0000" Properties=species:S:1:pos:R:3 pbc="T T T"
Re 0.0000 0.0000 0.0000
P 1.5111 2.6050 9.5227
Cl 1.5111 2.6050 5.7276
```



DFT (PBE) results for a relaxed structure of RePCl.

Values from the calculation:
**Symmetry**: P2_1/m, No. 11

Structure (extended XYZ):
```
6
Lattice="4.9443 0.0000 0.0000 0.0000 3.3501 0.0000 -0.7432 0.0000 8.7801" Properties=species:S:1:pos:R:3 pbc="T T T"
Re 0.7644 0.8375 0.7583
Re 3.4368 2.5126 8.0218
P 0.9079 2.5126 8.1524
P 3.2932 0.8375 0.6277
Cl 0.8591 0.8375 3.0430
Cl 3.3421 2.5126 5.7371
```



DFT total energy? In order: -5.1223, -3.6507, -5.9768, -6.4681, -5.3496, -5.9909, -6.0261, -6.1049, -6.7780, -6.8247, -6.1846, -5.3035, -6.4544, -4.8794, -7.2921, -5.4927, -6.3365, -6.7082, -6.1965, -6.8779 eV/atom.